Computed, not measured: a relaxed Rb2SbSe5 crystal at the PBE level of DFT.

abc: 13.001 7.316 6.040
angles: 90.00 102.36 90.00
Space group Cm (No. 8)
Asymmetric unit:
Rb (0.000, 0.000, 0.000) [2 per cell]
Rb (0.153, 0.500, 0.484) [2 per cell]
Sb (0.324, 0.000, 0.763) [2 per cell]
Se (0.019, 0.500, 0.922) [2 per cell]
Se (0.268, 0.251, 0.092) [4 per cell]
Se (0.396, 0.238, 0.430) [4 per cell]

V in Å³ per atom: 35.073


Computed, not measured: a relaxed RbSb6Se8 crystal at the PBE level of DFT.

abc: 10.7528 10.7528 15.1084
angles: 90.00 90.00 120.00
Space group R-3 (No. 148, hexagonal axes)
Asymmetric unit:
Rb (0.0000, 0.0000, 0.0000) [3 per cell]
Sb (0.0205, 0.2032, 0.5992) [18 per cell]
Se (0.0000, 0.0000, 0.2802) [6 per cell]
Se (0.0016, 0.6434, 0.2547) [18 per cell]

V in Å³ per atom: 33.618


Computed, not measured: a relaxed Rb2Sb3Se6 crystal at the PBE level of DFT.

abc: 7.098 12.297 8.741
angles: 90.00 105.75 90.00
Space group C2/m (No. 12)
Asymmetric unit:
Rb (0.000, 0.166, 0.000) [4 per cell]
Sb (0.000, 0.000, 0.500) [2 per cell]
Sb (0.000, 0.332, 0.500) [4 per cell]
Se (0.232, 0.167, 0.695) [8 per cell]
Se (0.232, 0.500, 0.695) [4 per cell]

V in Å³ per atom: 33.379


Computed, not measured: a relaxed Rb2SbSe2 crystal at the PBE level of DFT.

abc: 8.053 8.053 5.149
angles: 90.00 90.00 90.00
Space group P4/mbm (No. 127)
Asymmetric unit:
Rb (0.144, 0.356, 0.000) [4 per cell]
Sb (0.000, 0.000, 0.500) [2 per cell]
Se (0.177, 0.677, 0.500) [4 per cell]

V in Å³ per atom: 33.393


Computed, not measured: a relaxed RbSbSe crystal at the PBE level of DFT.

abc: 5.493 4.939 9.188
angles: 90.00 90.06 90.00
Space group P2/m (No. 10)
Asymmetric unit:
Rb (0.250, 0.000, 0.196) [2 per cell]
Sb (0.250, 0.500, 0.543) [2 per cell]
Se (0.251, 0.500, 0.820) [2 per cell]

V in Å³ per atom: 41.543


Computed, not measured: a relaxed RbSbSe3 crystal at the PBE level of DFT.

abc: 5.448 5.448 5.448
angles: 90.00 90.00 90.00
Space group Pm-3m (No. 221)
Asymmetric unit:
Rb (0.000, 0.000, 0.000) [1 per cell]
Sb (0.500, 0.500, 0.500) [1 per cell]
Se (0.000, 0.500, 0.500) [3 per cell]

V in Å³ per atom: 32.343
Polymorph energy (0 for the lowest one) in meV per atom: 207


Total moment / Bohr magnetons per cell: 0.0 0.0 0.0 0.0 0.0 0.0
Formation energy without anion corrections / eV/atom: -0.545 -0.217 -0.545 -0.634 -0.678 -0.288
D(E_F) / states/eV/cell: 2.9 13.3 16.7 4.9 1.1 5.0